DFT (PBE) results for Rb2Ti2BiO7 after structural relaxation.

Computed properties:
Spin magnetization ... 0.8 Bohr magnetons per cell
Calculated volume ... 14.8 Å³ per atom
Final energy ... -81.705 eV per cell
Formation energy from raw total energies ... -2116 meV per atom

Unit cell a=3.962 b=3.962 c=11.622 alpha=80.17 beta=80.17 gamma=90.00
Each line ends with the local moment (μB).
Sites, in units of the cell vectors:
1 Rb 0.810 0.810 0.380  0.00
2 Rb 0.190 0.190 0.620  0.00
3 Ti 0.593 0.593 0.815  -0.03
4 Ti 0.407 0.407 0.185  -0.03
5 Bi 0.000 0.000 0.000  -0.03
6 O 0.500 0.500 0.000  0.31
7 O 0.328 0.328 0.343  0.04
8 O 0.672 0.672 0.657  0.04
9 O 0.922 0.422 0.155  0.10
10 O 0.422 0.922 0.155  0.10
11 O 0.578 0.078 0.845  0.10
12 O 0.078 0.578 0.845  0.10



DFT (PBE) results for LaBeSe2 after structural relaxation.

Computed properties:
Spin magnetization ... 0.0 Bohr magnetons per cell
Calculated volume ... 24.7 Å³ per atom
Final energy ... -19.055 eV per cell
Formation energy from raw total energies ... -858 meV per atom

Unit cell a=4.012 b=4.012 c=6.149 alpha=90.00 beta=90.00 gamma=90.00
Sites, in units of the cell vectors:
1 Be 0.000 0.000 0.333
2 Se 0.000 0.000 0.969
3 Se 0.500 0.500 0.364
4 La 0.500 0.500 0.834



DFT (PBE) results for NaIn6Pb3 after structural relaxation.

Computed properties:
ΔH_f (0 K) ... 14.9 meV/atom
Spin magnetization ... 0.0 Bohr magnetons per cell
Calculated volume ... 29.8 Å³ per atom
Final energy ... -57.452 eV per cell

Unit cell a=4.343 b=11.265 c=12.450 alpha=101.86 beta=90.00 gamma=90.00
Sites, in units of the cell vectors:
1 Na 0.750 0.691 0.712
2 Na 0.250 0.309 0.288
3 In 0.750 0.616 0.017
4 In 0.250 0.384 0.983
5 In 0.750 0.072 0.223
6 In 0.250 0.928 0.777
7 In 0.750 0.966 0.593
8 In 0.250 0.034 0.407
9 In 0.750 0.259 0.482
10 In 0.250 0.741 0.518
11 In 0.750 0.531 0.413
12 In 0.250 0.469 0.587
13 In 0.750 0.885 0.947
14 In 0.250 0.115 0.053
15 Pb 0.750 0.803 0.329
16 Pb 0.250 0.197 0.671
17 Pb 0.750 0.426 0.783
18 Pb 0.250 0.574 0.217
19 Pb 0.750 0.162 0.871
20 Pb 0.250 0.838 0.129



DFT (PBE) results for RbY2Re2 after structural relaxation.

Computed properties:
ΔH_f (0 K) ... 519.4 meV/atom
Spin magnetization ... 0.0 Bohr magnetons per cell
Calculated volume ... 32.8 Å³ per atom
Final energy ... -36.195 eV per cell

Unit cell a=3.645 b=3.645 c=12.627 alpha=81.70 beta=81.70 gamma=90.00
Sites, in units of the cell vectors:
1 Y 0.348 0.348 0.304
2 Y 0.652 0.652 0.696
3 Re 0.750 0.250 0.500
4 Re 0.250 0.750 0.500
5 Rb 0.000 0.000 0.000



DFT (PBE) results for CeSmEr after structural relaxation.

Computed properties:
ΔH_f (0 K) ... 43.7 meV/atom
Spin magnetization ... 0.8 Bohr magnetons per cell
Calculated volume ... 30.9 Å³ per atom
Final energy ... -30.170 eV per cell

Unit cell a=6.145 b=3.558 c=15.093 alpha=118.06 beta=47.10 gamma=90.04
Each line ends with the local moment (μB).
Sites, in units of the cell vectors:
1 Ce 0.768 0.768 0.572  0.35
2 Ce 0.269 0.283 0.579  0.35
3 Sm 0.394 0.923 0.899  -0.01
4 Sm 0.642 0.129 0.252  -0.01
5 Er 0.883 0.438 0.907  -0.01
6 Er 0.153 0.614 0.244  -0.01



DFT (PBE) results for Tb4CuO7 after structural relaxation.

Computed properties:
Spin magnetization ... 0.0 Bohr magnetons per cell
Calculated volume ... 13.4 Å³ per atom
Final energy ... -93.525 eV per cell
Formation energy from raw total energies ... -3017 meV per atom

Unit cell a=3.899 b=6.601 c=6.802 alpha=84.06 beta=73.35 gamma=72.82
Sites, in units of the cell vectors:
1 Tb 0.587 0.223 0.603
2 Tb 0.413 0.777 0.397
3 Tb 0.746 0.663 0.845
4 Tb 0.254 0.337 0.155
5 Cu 0.000 0.000 0.000
6 O 0.796 0.853 0.556
7 O 0.204 0.147 0.444
8 O 0.090 0.712 0.107
9 O 0.910 0.288 0.893
10 O 0.366 0.571 0.697
11 O 0.500 0.000 0.000
12 O 0.634 0.429 0.303



DFT (PBE) results for SrTlHg2 after structural relaxation.

Computed properties:
ΔH_f (0 K) ... -193.3 meV/atom
Spin magnetization ... 0.0 Bohr magnetons per cell
Calculated volume ... 33.3 Å³ per atom
Final energy ... -10.850 eV per cell

Unit cell a=4.895 b=4.895 c=11.629 alpha=77.85 beta=77.85 gamma=90.00
Sites, in units of the cell vectors:
1 Sr 0.500 0.500 0.000
2 Sr 0.250 0.750 0.500
3 Tl 0.000 0.000 0.000
4 Tl 0.750 0.250 0.500
5 Hg 0.660 0.125 0.250
6 Hg 0.090 0.625 0.250
7 Hg 0.375 0.340 0.750
8 Hg 0.875 0.910 0.750



DFT (PBE) results for Zn2CuAu3 after structural relaxation.

Computed properties:
ΔH_f (0 K) ... -158.9 meV/atom
Spin magnetization ... 0.0 Bohr magnetons per cell
Calculated volume ... 15.8 Å³ per atom
Final energy ... -34.859 eV per cell

Unit cell a=4.363 b=6.900 c=6.657 alpha=90.00 beta=90.00 gamma=71.57
Sites, in units of the cell vectors:
1 Zn 0.000 0.000 0.000
2 Zn 0.000 0.000 0.500
3 Zn 0.334 0.331 0.500
4 Zn 0.666 0.669 0.500
5 Cu 0.332 0.336 0.000
6 Cu 0.668 0.664 0.000
7 Au 0.832 0.335 0.752
8 Au 0.500 0.000 0.246
9 Au 0.168 0.665 0.248
10 Au 0.832 0.335 0.248
11 Au 0.168 0.665 0.752
12 Au 0.500 0.000 0.754



DFT (PBE) results for ErTiGa3 after structural relaxation.

Computed properties:
ΔH_f (0 K) ... -275.8 meV/atom
Spin magnetization ... 0.0 Bohr magnetons per cell
Calculated volume ... 20.3 Å³ per atom
Final energy ... -91.669 eV per cell

Unit cell a=5.593 b=9.324 c=7.775 alpha=90.00 beta=90.00 gamma=90.00
Sites, in units of the cell vectors:
1 Er 0.500 0.498 0.750
2 Er 0.000 0.998 0.250
3 Er 0.500 0.502 0.250
4 Er 0.000 0.002 0.750
5 Ti 0.000 0.500 0.000
6 Ti 0.500 0.000 0.500
7 Ti 0.500 0.000 0.000
8 Ti 0.000 0.500 0.500
9 Ga 0.750 0.250 0.035
10 Ga 0.750 0.750 0.535
11 Ga 0.750 0.750 0.965
12 Ga 0.250 0.750 0.535
13 Ga 0.250 0.750 0.965
14 Ga 0.250 0.250 0.465
15 Ga 0.250 0.250 0.035
16 Ga 0.750 0.250 0.465
17 Ga 0.500 0.169 0.750
18 Ga 0.000 0.669 0.250
19 Ga 0.500 0.831 0.250
20 Ga 0.000 0.331 0.750



DFT (PBE) results for K2Ho2PaS6 after structural relaxation.

Computed properties:
Spin magnetization ... 1.1 Bohr magnetons per cell
Calculated volume ... 28.7 Å³ per atom
Final energy ... -65.623 eV per cell
Formation energy from raw total energies ... -1819 meV per atom

Unit cell a=6.951 b=6.951 c=7.891 alpha=98.55 beta=98.55 gamma=119.92
Each line ends with the local moment (μB).
Sites, in units of the cell vectors:
1 K 0.832 0.168 0.000  0.00
2 K 0.168 0.832 0.000  0.00
3 Ho 0.334 0.666 0.500  0.03
4 Ho 0.666 0.334 0.500  0.03
5 Pa 0.000 0.000 0.500  0.95
6 S 0.736 0.736 0.695  -0.01
7 S 0.064 0.397 0.695  -0.01
8 S 0.264 0.264 0.305  -0.01
9 S 0.397 0.064 0.695  -0.01
10 S 0.936 0.603 0.305  -0.01
11 S 0.603 0.936 0.305  -0.01



DFT (PBE) results for La2ZrHg after structural relaxation.

Computed properties:
ΔH_f (0 K) ... -28.8 meV/atom
Spin magnetization ... 0.1 Bohr magnetons per cell
Calculated volume ... 28.1 Å³ per atom
Final energy ... -18.820 eV per cell

Unit cell a=5.936 b=5.936 c=5.936 alpha=132.21 beta=132.21 gamma=69.89
Sites, in units of the cell vectors:
1 Hg 0.750 0.250 0.500
2 La 0.000 0.000 0.000
3 La 0.500 0.500 0.000
4 Zr 0.250 0.750 0.500



DFT (PBE) results for ErSc2Te4 after structural relaxation.

Computed properties:
Spin magnetization ... 0.0 Bohr magnetons per cell
Calculated volume ... 30.6 Å³ per atom
Final energy ... -38.705 eV per cell
Formation energy from raw total energies ... -1273 meV per atom

Unit cell a=4.181 b=7.281 c=8.209 alpha=116.70 beta=104.75 gamma=90.00
Sites, in units of the cell vectors:
1 Er 0.000 0.000 0.000
2 Sc 0.747 0.767 0.494
3 Sc 0.253 0.233 0.506
4 Te 0.876 0.214 0.752
5 Te 0.124 0.786 0.248
6 Te 0.634 0.302 0.267
7 Te 0.366 0.698 0.733



DFT (PBE) results for ZnIrCl2 after structural relaxation.

Computed properties:
Spin magnetization ... 0.0 Bohr magnetons per cell
Calculated volume ... 17.0 Å³ per atom
Final energy ... -10.950 eV per cell
Formation energy from raw total energies ... 720 meV per atom

Unit cell a=4.654 b=4.654 c=3.200 alpha=90.00 beta=90.00 gamma=101.37
Sites, in units of the cell vectors:
1 Zn 0.000 0.500 0.500
2 Ir 0.500 0.000 0.500
3 Cl 0.000 0.000 0.000
4 Cl 0.500 0.500 0.000



DFT (PBE) results for BiPIrSN after structural relaxation.

Computed properties:
Spin magnetization ... 0.0 Bohr magnetons per cell
Calculated volume ... 17.6 Å³ per atom
Final energy ... -61.406 eV per cell
Formation energy from raw total energies ... -20 meV per atom

Unit cell a=6.722 b=3.642 c=7.653 alpha=90.00 beta=109.71 gamma=90.00
Sites, in units of the cell vectors:
1 Bi 0.440 0.000 0.829
2 Bi 0.440 0.500 0.329
3 P 0.125 0.000 0.977
4 P 0.125 0.500 0.477
5 Ir 0.947 0.000 0.322
6 Ir 0.947 0.500 0.822
7 S 0.757 0.000 0.549
8 S 0.757 0.500 0.049
9 N 0.193 0.000 0.207
10 N 0.193 0.500 0.707



DFT (PBE) results for PmY2Lu after structural relaxation.

Computed properties:
ΔH_f (0 K) ... 29.2 meV/atom
Spin magnetization ... 0.0 Bohr magnetons per cell
Calculated volume ... 32.1 Å³ per atom
Final energy ... -22.083 eV per cell

Unit cell a=3.560 b=3.560 c=10.119 alpha=90.00 beta=90.00 gamma=90.00
Sites, in units of the cell vectors:
1 Y 0.000 0.000 0.756
2 Y 0.000 0.000 0.244
3 Lu 0.500 0.500 0.000
4 Pm 0.500 0.500 0.500



DFT (PBE) results for CaPdS2N after structural relaxation.

Computed properties:
Spin magnetization ... 0.6 Bohr magnetons per cell
Calculated volume ... 18.6 Å³ per atom
Final energy ... -24.418 eV per cell
Formation energy from raw total energies ... -129 meV per atom

Unit cell a=4.968 b=4.968 c=3.773 alpha=90.00 beta=90.00 gamma=90.00
Each line ends with the local moment (μB).
Sites, in units of the cell vectors:
1 Ca 0.500 0.500 0.500  0.00
2 S 0.000 0.500 0.000  0.03
3 S 0.500 0.000 0.000  0.03
4 Pd 0.000 0.000 0.000  0.04
5 N 0.000 0.000 0.500  0.33



DFT (PBE) results for Hf2Mo2Cl after structural relaxation.

Computed properties:
Spin magnetization ... 0.0 Bohr magnetons per cell
Calculated volume ... 20.7 Å³ per atom
Final energy ... -83.657 eV per cell
Formation energy from raw total energies ... 317 meV per atom

Unit cell a=7.943 b=7.943 c=3.288 alpha=90.00 beta=90.00 gamma=90.00
Sites, in units of the cell vectors:
1 Mo 0.100 0.600 0.500
2 Mo 0.600 0.900 0.500
3 Mo 0.900 0.400 0.500
4 Mo 0.400 0.100 0.500
5 Hf 0.311 0.811 0.000
6 Hf 0.811 0.689 0.000
7 Hf 0.689 0.189 0.000
8 Hf 0.189 0.311 0.000
9 Cl 0.000 0.000 0.000
10 Cl 0.500 0.500 0.000



DFT (PBE) results for TbTh2MnN5 after structural relaxation.

Computed properties:
Spin magnetization ... 2.0 Bohr magnetons per cell
Calculated volume ... 14.3 Å³ per atom
Final energy ... -158.355 eV per cell
Formation energy from raw total energies ... -990 meV per atom

Unit cell a=5.705 b=6.718 c=6.718 alpha=90.00 beta=90.00 gamma=90.00
Each line ends with the local moment (μB).
Sites, in units of the cell vectors:
1 Tb 0.000 0.500 0.500  0.01
2 Tb 0.000 0.000 0.000  0.01
3 Th 0.500 0.671 0.171  0.02
4 Th 0.500 0.171 0.329  0.02
5 Th 0.500 0.829 0.671  0.02
6 Th 0.500 0.329 0.829  0.02
7 Mn 0.000 0.000 0.500  1.18
8 Mn 0.000 0.500 0.000  1.18
9 N 0.500 0.500 0.500  -0.08
10 N 0.500 0.000 0.000  -0.08
11 N 0.226 0.141 0.641  -0.04
12 N 0.226 0.859 0.359  -0.04
13 N 0.226 0.359 0.141  -0.04
14 N 0.226 0.641 0.859  -0.04
15 N 0.774 0.141 0.641  -0.04
16 N 0.774 0.641 0.859  -0.04
17 N 0.774 0.859 0.359  -0.04
18 N 0.774 0.359 0.141  -0.04



DFT (PBE) results for PrTmInAg after structural relaxation.

Computed properties:
ΔH_f (0 K) ... -365.7 meV/atom
Spin magnetization ... 0.0 Bohr magnetons per cell
Calculated volume ... 26.8 Å³ per atom
Final energy ... -16.303 eV per cell

Unit cell a=5.330 b=5.330 c=5.330 alpha=60.00 beta=60.00 gamma=60.00
Sites, in units of the cell vectors:
1 Pr 0.500 0.500 0.500
2 Tm 0.000 0.000 0.000
3 Ag 0.250 0.250 0.250
4 In 0.750 0.750 0.750



DFT (PBE) results for Ho3Er6Th2Sc after structural relaxation.

Computed properties:
ΔH_f (0 K) ... 25.1 meV/atom
Spin magnetization ... 0.0 Bohr magnetons per cell
Calculated volume ... 30.4 Å³ per atom
Final energy ... -61.981 eV per cell

Unit cell a=6.061 b=6.061 c=11.637 alpha=94.99 beta=94.99 gamma=119.99
Sites, in units of the cell vectors:
1 Ho 0.166 0.834 0.500
2 Ho 0.834 0.166 0.500
3 Ho 0.500 0.500 0.500
4 Er 0.918 0.585 0.753
5 Er 0.749 0.749 0.247
6 Er 0.082 0.415 0.247
7 Er 0.585 0.918 0.753
8 Er 0.251 0.251 0.753
9 Er 0.415 0.082 0.247
10 Th 0.333 0.667 0.000
11 Th 0.667 0.333 0.000
12 Sc 0.000 0.000 0.000



DFT (PBE) results for MgZnP2 after structural relaxation.

Computed properties:
ΔH_f (0 K) ... 85.3 meV/atom
Spin magnetization ... 0.0 Bohr magnetons per cell
Calculated volume ... 16.8 Å³ per atom
Final energy ... -13.347 eV per cell

Unit cell a=4.805 b=4.805 c=4.805 alpha=134.32 beta=119.18 gamma=79.27
Sites, in units of the cell vectors:
1 Mg 0.250 0.750 0.500
2 P 0.977 0.977 0.000
3 P 0.523 0.523 0.000
4 Zn 0.750 0.250 0.500



DFT (PBE) results for LaZrHg3 after structural relaxation.

Computed properties:
ΔH_f (0 K) ... 199.4 meV/atom
Spin magnetization ... 0.7 Bohr magnetons per cell
Calculated volume ... 31.9 Å³ per atom
Final energy ... -13.384 eV per cell

Unit cell a=5.424 b=5.424 c=5.424 alpha=90.00 beta=90.00 gamma=90.00
Each line ends with the local moment (μB).
Sites, in units of the cell vectors:
1 Hg 0.000 0.500 0.000  0.04
2 Hg 0.000 0.000 0.500  0.02
3 Hg 0.500 0.000 0.000  0.06
4 Zr 0.000 0.000 0.000  0.40
5 La 0.500 0.500 0.500  0.01



DFT (PBE) results for Tb12Y6Tl after structural relaxation.

Computed properties:
ΔH_f (0 K) ... 92.1 meV/atom
Spin magnetization ... 0.0 Bohr magnetons per cell
Calculated volume ... 32.2 Å³ per atom
Final energy ... -94.963 eV per cell

Unit cell a=8.493 b=8.493 c=8.493 alpha=88.93 beta=88.93 gamma=88.93
Sites, in units of the cell vectors:
1 Tb 0.780 0.539 0.433
2 Tb 0.433 0.780 0.539
3 Tb 0.539 0.433 0.780
4 Tb 0.220 0.461 0.567
5 Tb 0.567 0.220 0.461
6 Tb 0.461 0.567 0.220
7 Tb 0.014 0.186 0.361
8 Tb 0.814 0.639 0.986
9 Tb 0.639 0.986 0.814
10 Tb 0.986 0.814 0.639
11 Tb 0.186 0.361 0.014
12 Tb 0.361 0.014 0.186
13 Y 0.741 0.904 0.296
14 Y 0.704 0.259 0.096
15 Y 0.096 0.704 0.259
16 Y 0.259 0.096 0.704
17 Y 0.296 0.741 0.904
18 Y 0.904 0.296 0.741
19 Tl 0.000 0.000 0.000